This record from the Alexandria database describes an optimized crystal structure of LiNi4B. The functional is PBE.

Computed properties:
total DFT energy (no corrections): -64.0 eV for the cell shown
magnetic moment: 0.000 μB/atom
ΔE_f: -47 meV/atom

The structure in CIF format:
```
data_LiNi4B
_cell_length_a 6.7146
_cell_length_b 6.7146
_cell_length_c 5.2877
_cell_angle_alpha 90.00
_cell_angle_beta 90.00
_cell_angle_gamma 145.99
_space_group_name_H-M_alt 'P 1'
_space_group_IT_number 1
_space_group_name_Hall 'P 1'
loop_
_atom_site_label
_atom_site_type_symbol
_atom_site_fract_x
_atom_site_fract_y
_atom_site_fract_z
Li1 Li 0.0967 0.9033 0.7500
Li2 Li 0.9033 0.0967 0.2500
Ni1 Ni 0.1194 0.8806 0.2500
Ni2 Ni 0.2982 0.7018 0.0212
Ni3 Ni 0.2982 0.7018 0.4788
Ni4 Ni 0.5000 0.5000 0.0000
Ni5 Ni 0.5000 0.5000 0.5000
Ni6 Ni 0.7018 0.2982 0.5212
Ni7 Ni 0.7018 0.2982 0.9788
Ni8 Ni 0.8806 0.1194 0.7500
B1 B 0.3924 0.6076 0.7500
B2 B 0.6076 0.3924 0.2500
```